VASP calculation (PBE) on a geometry-optimized InAsPdSe2 structure.

```
InAsPdSe2
1.0
5.2587 0.0000 0.0000
0.0000 5.2587 0.0000
0.0000 0.0000 4.6597
In As Pd Se
1 1 1 2
Direct
0.0000 0.0000 0.0000
0.5000 0.5000 0.0000
0.5000 0.5000 0.5000
0.0000 0.5000 0.5000
0.5000 0.0000 0.5000
```

## Properties
calculated total energy = -18.3 eV/cell
space-group type = P4/mmm (123)
polymorph energy (0 for the lowest one) = 0.000 eV/atom
D(E_F) = 7.0 states/eV per cell
size of the total moment = 0.0 μB/f.u.
uncorrected formation energy = 0.248 eV per atom
crystal system = tetragonal
volume = 25.8 Å³ per atom


VASP calculation (PBE) on a geometry-optimized Nb4ZnGa2 structure.

```
Nb4ZnGa2
1.0
6.4257 0.0000 0.0000
0.0000 5.2933 0.0000
-2.6288 0.0000 7.2069
Nb Zn Ga
8 2 4
Direct
0.0496 0.2500 0.0236
0.1496 0.0061 0.7053
0.1496 0.4939 0.7053
0.3118 0.7500 0.3661
0.6882 0.2500 0.6339
0.8504 0.5061 0.2947
0.8504 0.9939 0.2947
0.9504 0.7500 0.9764
0.4788 0.2500 0.2471
0.5212 0.7500 0.7529
0.2394 0.2500 0.4268
0.4100 0.7500 0.0515
0.5900 0.2500 0.9485
0.7606 0.7500 0.5732
```

## Properties
calculated total energy = -95.7 eV/cell
space-group type = P2_1/m (11)
energy of formation from the pure elements = -0.033 eV/atom
D(E_F) = 7.7 states/eV per cell
size of the total moment = 0.0 μB/f.u.
crystal system = monoclinic
volume = 17.5 Å³ per atom


VASP calculation (PBE) on a geometry-optimized LaErSO2 structure.

```
LaErSO2
1.0
6.5498 0.0000 0.0000
0.0000 4.0856 0.0000
-2.6273 0.0000 7.2353
La Er S O
2 2 2 4
Direct
0.1994 0.2500 0.4344
0.8006 0.7500 0.5656
0.1769 0.2500 0.9285
0.8231 0.7500 0.0715
0.4583 0.7500 0.7510
0.5417 0.2500 0.2490
0.0137 0.7500 0.3691
0.0231 0.7500 0.8926
0.9769 0.2500 0.1074
0.9863 0.2500 0.6309
```

## Properties
calculated total energy = -78.4 eV/cell
space-group type = P2_1/m (11)
D(E_F) = 0.0 states/eV per cell
size of the total moment = 0.0 μB/f.u.
uncorrected formation energy = -3.133 eV per atom
crystal system = monoclinic
volume = 19.4 Å³ per atom


VASP calculation (PBE) on a geometry-optimized Pa2NbHg structure.

```
Pa2NbHg
1.0
1.5531 0.8967 11.7597
-1.5531 0.8967 11.7597
0.0000 -1.7934 11.7597
Pa Nb Hg
2 1 1
Direct
0.0925 0.0925 0.0925
0.9075 0.9075 0.9075
0.5000 0.5000 0.5000
0.0000 0.0000 0.0000
```

## Properties
calculated total energy = -28.2 eV/cell
space-group type = R-3m (166)
energy of formation from the pure elements = 0.299 eV/atom
polymorph energy (0 for the lowest one) = 0.171 eV/atom
D(E_F) = 6.3 states/eV per cell
size of the total moment = 0.0 μB/f.u.
crystal system = trigonal
volume = 24.6 Å³ per atom


VASP calculation (PBE) on a geometry-optimized Tb3NdCo structure.

```
Tb3NdCo
1.0
9.4345 0.0000 0.0000
0.0000 6.4853 0.0000
-1.8114 0.0000 9.6009
Tb Nd Co
12 4 4
Direct
0.0573 0.0873 0.1773
0.0573 0.4127 0.6773
0.1945 0.5822 0.0753
0.1945 0.9178 0.5753
0.3219 0.0853 0.9468
0.3219 0.4147 0.4468
0.6781 0.5853 0.5532
0.6781 0.9147 0.0532
0.8055 0.0822 0.4247
0.8055 0.4178 0.9247
0.9427 0.5873 0.3227
0.9427 0.9127 0.8227
0.4337 0.5751 0.8174
0.4337 0.9249 0.3174
0.5663 0.0751 0.6826
0.5663 0.4249 0.1826
0.0713 0.2358 0.4319
0.0713 0.2642 0.9319
0.9287 0.7358 0.0681
0.9287 0.7642 0.5681
```

## Properties
calculated total energy = -104.0 eV/cell
space-group type = P2_1/c (14)
energy of formation from the pure elements = -0.048 eV/atom
polymorph energy (0 for the lowest one) = 0.041 eV/atom
D(E_F) = 19.8 states/eV per cell
size of the total moment = 0.0 μB/f.u.
crystal system = monoclinic
volume = 29.4 Å³ per atom


VASP calculation (PBE) on a geometry-optimized CrCdPOs2 structure.

```
CrCdPOs2
1.0
4.3922 0.0000 0.0000
0.0000 4.3922 0.0000
0.0000 0.0000 4.2535
Cr Cd P Os
1 1 1 2
Direct
0.0000 0.0000 0.0000
0.5000 0.5000 0.0000
0.0000 0.0000 0.5000
0.0000 0.5000 0.5000
0.5000 0.0000 0.5000
```

## Properties
calculated total energy = -35.0 eV/cell
space-group type = P4/mmm (123)
energy of formation from the pure elements = 0.688 eV/atom
D(E_F) = 7.4 states/eV per cell
size of the total moment = 0.4 μB/f.u.
crystal system = tetragonal
volume = 16.4 Å³ per atom


VASP calculation (PBE) on a geometry-optimized SrIBrO4 structure.

```
SrIBrO4
1.0
5.4296 -3.9428 0.0000
5.4296 3.9428 0.0000
-1.8900 0.0000 7.2777
Sr I Br O
2 2 2 8
Direct
0.2190 0.2190 0.1379
0.7810 0.7810 0.8621
0.3635 0.3635 0.7368
0.6365 0.6365 0.2632
0.0322 0.0322 0.7575
0.9678 0.9678 0.2425
0.1456 0.5004 0.8629
0.2786 0.2786 0.4998
0.4688 0.4688 0.2427
0.5004 0.1456 0.8629
0.4996 0.8544 0.1371
0.5312 0.5312 0.7573
0.7214 0.7214 0.5002
0.8544 0.4996 0.1371
```

## Properties
calculated total energy = -63.2 eV/cell
space-group type = C2/m (12)
D(E_F) = 1.7 states/eV per cell
size of the total moment = 0.0 μB/f.u.
uncorrected formation energy = -0.979 eV per atom
crystal system = monoclinic
volume = 22.3 Å³ per atom


VASP calculation (PBE) on a geometry-optimized MgAsSe2Br structure.

```
MgAsSe2Br
1.0
5.1356 0.0000 0.0000
0.0000 5.1356 0.0000
0.0000 0.0000 4.8797
Mg As Se Br
1 1 2 1
Direct
0.0000 0.0000 0.0000
0.5000 0.5000 0.5000
0.0000 0.5000 0.0000
0.5000 0.0000 0.0000
0.0000 0.0000 0.5000
```

## Properties
calculated total energy = -14.0 eV/cell
space-group type = P4/mmm (123)
polymorph energy (0 for the lowest one) = 0.137 eV/atom
D(E_F) = 5.1 states/eV per cell
size of the total moment = 0.0 μB/f.u.
uncorrected formation energy = 0.173 eV per atom
crystal system = tetragonal
volume = 25.7 Å³ per atom


VASP calculation (PBE) on a geometry-optimized Dy7Y4Er structure.

```
Dy7Y4Er
1.0
5.9899 -2.9416 0.0000
5.9899 2.9416 0.0000
-5.8966 0.0000 11.1728
Dy Y Er
7 4 1
Direct
0.0000 0.0000 0.0000
0.2130 0.2130 0.9244
0.2457 0.2457 0.6823
0.3667 0.3667 0.4991
0.6333 0.6333 0.5009
0.7543 0.7543 0.3177
0.7870 0.7870 0.0756
0.0612 0.0612 0.3205
0.3619 0.3619 0.2241
0.6381 0.6381 0.7759
0.9388 0.9388 0.6795
0.5000 0.5000 0.0000
```

## Properties
calculated total energy = -59.2 eV/cell
space-group type = C2/m (12)
energy of formation from the pure elements = 0.288 eV/atom
D(E_F) = 20.6 states/eV per cell
size of the total moment = 0.0 μB/f.u.
crystal system = monoclinic
volume = 32.8 Å³ per atom


VASP calculation (PBE) on a geometry-optimized MoP2SI structure.

```
MoP2SI
1.0
4.8743 0.0000 0.0000
0.0000 4.8743 0.0000
0.0000 0.0000 4.5600
Mo P S I
1 2 1 1
Direct
0.0000 0.0000 0.0000
0.0000 0.5000 0.0000
0.5000 0.0000 0.0000
0.0000 0.0000 0.5000
0.5000 0.5000 0.5000
```

## Properties
calculated total energy = -25.6 eV/cell
space-group type = P4/mmm (123)
polymorph energy (0 for the lowest one) = 0.000 eV/atom
D(E_F) = 3.8 states/eV per cell
size of the total moment = 0.0 μB/f.u.
uncorrected formation energy = 0.351 eV per atom
crystal system = tetragonal
volume = 21.7 Å³ per atom


VASP calculation (PBE) on a geometry-optimized PtN structure.

```
PtN
1.0
-1.4430 1.4430 3.0281
1.4430 -1.4430 3.0281
1.4430 1.4430 -3.0281
Pt N
1 1
Direct
0.0000 0.0000 0.0000
0.2500 0.7500 0.5000
```

## Properties
calculated total energy = -12.3 eV/cell
space-group type = I-4m2 (119)
D(E_F) = 1.6 states/eV per cell
size of the total moment = 0.0 μB/f.u.
uncorrected formation energy = 1.038 eV per atom
crystal system = tetragonal
volume = 12.6 Å³ per atom


VASP calculation (PBE) on a geometry-optimized Pr2AgHg2 structure.

```
Pr2AgHg2
1.0
5.5996 -2.4095 0.0000
5.5996 2.4095 0.0000
-4.2024 0.0000 10.1141
Pr Ag Hg
4 2 4
Direct
0.0271 0.0271 0.3449
0.1796 0.1796 0.1041
0.8204 0.8204 0.8959
0.9729 0.9729 0.6551
0.2772 0.2772 0.6709
0.7228 0.7228 0.3291
0.3583 0.3583 0.4214
0.4656 0.4656 0.1209
0.5344 0.5344 0.8791
0.6417 0.6417 0.5786
```

## Properties
calculated total energy = -29.7 eV/cell
space-group type = C2/m (12)
energy of formation from the pure elements = -0.364 eV/atom
polymorph energy (0 for the lowest one) = 0.000 eV/atom
D(E_F) = 8.5 states/eV per cell
size of the total moment = 0.0 μB/f.u.
crystal system = monoclinic
volume = 27.3 Å³ per atom


VASP calculation (PBE) on a geometry-optimized RbLi2Pt2 structure.

```
RbLi2Pt2
1.0
8.2422 0.0000 0.0000
0.0000 8.2422 0.0000
0.0000 0.0000 2.8265
Rb Li Pt
2 4 4
Direct
0.0000 0.0000 0.0000
0.5000 0.5000 0.0000
0.1418 0.3582 0.5000
0.3582 0.8582 0.5000
0.6418 0.1418 0.5000
0.8582 0.6418 0.5000
0.1389 0.6389 0.0000
0.3611 0.1389 0.0000
0.6389 0.8611 0.0000
0.8611 0.3611 0.0000
```

## Properties
calculated total energy = -35.5 eV/cell
space-group type = P4/mbm (127)
energy of formation from the pure elements = -0.179 eV/atom
polymorph energy (0 for the lowest one) = 0.037 eV/atom
D(E_F) = 7.5 states/eV per cell
size of the total moment = 0.0 μB/f.u.
crystal system = tetragonal
volume = 19.2 Å³ per atom


VASP calculation (PBE) on a geometry-optimized Si2TeP structure.

```
Si2TeP
1.0
2.6855 -3.7941 0.0000
2.6855 3.7941 0.0000
0.0000 0.0000 3.7785
Si Te P
2 1 1
Direct
0.2233 0.7767 0.0000
0.7767 0.2233 0.0000
0.5000 0.5000 0.5000
0.0000 0.0000 0.5000
```

## Properties
calculated total energy = -18.4 eV/cell
space-group type = Cmmm (65)
polymorph energy (0 for the lowest one) = 0.082 eV/atom
D(E_F) = 1.0 states/eV per cell
size of the total moment = 0.0 μB/f.u.
uncorrected formation energy = 0.253 eV per atom
crystal system = orthorhombic
volume = 19.2 Å³ per atom


VASP calculation (PBE) on a geometry-optimized ZrTl2Ni structure.

```
ZrTl2Ni
1.0
0.0000 3.4750 3.4750
3.4750 0.0000 3.4750
3.4750 3.4750 0.0000
Zr Tl Ni
1 2 1
Direct
0.0000 0.0000 0.0000
0.5000 0.5000 0.5000
0.7500 0.7500 0.7500
0.2500 0.2500 0.2500
```

## Properties
calculated total energy = -17.9 eV/cell
space-group type = F-43m (216)
energy of formation from the pure elements = 0.288 eV/atom
D(E_F) = 2.4 states/eV per cell
size of the total moment = 0.0 μB/f.u.
crystal system = cubic
volume = 21.0 Å³ per atom


VASP calculation (PBE) on a geometry-optimized NiPPt3 structure.

```
NiPPt3
1.0
4.5459 0.0000 0.0000
0.0000 4.5459 0.0000
0.0000 0.0000 4.5459
Ni P Pt
1 1 3
Direct
0.0000 0.0000 0.0000
0.5000 0.5000 0.5000
0.0000 0.0000 0.5000
0.0000 0.5000 0.0000
0.5000 0.0000 0.0000
```

## Properties
calculated total energy = -23.3 eV/cell
space-group type = Pm-3m (221)
energy of formation from the pure elements = 1.198 eV/atom
polymorph energy (0 for the lowest one) = 1.466 eV/atom
D(E_F) = 10.2 states/eV per cell
size of the total moment = 1.1 μB/f.u.
crystal system = cubic
volume = 18.8 Å³ per atom


VASP calculation (PBE) on a geometry-optimized NaVRu structure.

```
NaVRu
1.0
2.9236 0.0000 0.0000
0.0000 3.8748 0.0000
-0.0354 0.0000 10.7284
Na V Ru
2 2 2
Direct
0.2460 0.2500 0.1415
0.7540 0.7500 0.8585
0.2490 0.2500 0.4257
0.7510 0.7500 0.5743
0.2520 0.2500 0.6429
0.7480 0.7500 0.3571
```

## Properties
calculated total energy = -38.7 eV/cell
space-group type = P2_1/m (11)
energy of formation from the pure elements = 0.121 eV/atom
polymorph energy (0 for the lowest one) = 0.079 eV/atom
D(E_F) = 4.9 states/eV per cell
size of the total moment = 0.0 μB/f.u.
crystal system = monoclinic
volume = 20.3 Å³ per atom


VASP calculation (PBE) on a geometry-optimized FeSi2H structure.

```
FeSi2H
1.0
0.0000 2.7345 2.7345
2.7345 0.0000 2.7345
2.7345 2.7345 0.0000
Fe Si H
1 2 1
Direct
0.0000 0.0000 0.0000
0.2500 0.2500 0.2500
0.7500 0.7500 0.7500
0.5000 0.5000 0.5000
```

## Properties
calculated total energy = -21.2 eV/cell
space-group type = Fm-3m (225)
polymorph energy (0 for the lowest one) = 0.000 eV/atom
D(E_F) = 3.3 states/eV per cell
size of the total moment = 0.9 μB/f.u.
crystal system = cubic
volume = 10.2 Å³ per atom


VASP calculation (PBE) on a geometry-optimized Er4RhSe3 structure.

```
Er4RhSe3
1.0
4.1577 -5.7695 0.0000
4.1577 5.7695 0.0000
0.0000 0.0000 3.9671
Er Rh Se
4 1 3
Direct
0.2273 0.2273 0.5000
0.2389 0.7611 0.0000
0.7611 0.2389 0.0000
0.7727 0.7727 0.5000
0.0000 0.0000 0.0000
0.0000 0.5000 0.5000
0.5000 0.0000 0.5000
0.5000 0.5000 0.0000
```

## Properties
calculated total energy = -47.9 eV/cell
space-group type = Cmmm (65)
D(E_F) = 5.9 states/eV per cell
size of the total moment = 0.0 μB/f.u.
uncorrected formation energy = -1.484 eV per atom
crystal system = orthorhombic
volume = 23.8 Å³ per atom


VASP calculation (PBE) on a geometry-optimized IrOsF2 structure.

```
IrOsF2
1.0
-3.5830 3.5830 2.3948
3.5830 -3.5830 2.3948
3.5830 3.5830 -2.3948
Ir Os F
2 2 4
Direct
0.0000 0.0000 0.0000
0.7500 0.2500 0.5000
0.2500 0.7500 0.5000
0.5000 0.5000 0.0000
0.2372 0.1250 0.6122
0.3750 0.7628 0.8878
0.5128 0.6250 0.3878
0.8750 0.4872 0.1122
```

## Properties
calculated total energy = -43.1 eV/cell
space-group type = I-42d (122)
polymorph energy (0 for the lowest one) = 0.692 eV/atom
D(E_F) = 8.6 states/eV per cell
size of the total moment = 0.0 μB/f.u.
uncorrected formation energy = 0.569 eV per atom
crystal system = tetragonal
volume = 15.4 Å³ per atom


VASP calculation (PBE) on a geometry-optimized RbSrO3 structure.

```
RbSrO3
1.0
4.3435 0.0000 0.0000
0.0000 4.3435 0.0000
0.0000 0.0000 4.3435
Rb Sr O
1 1 3
Direct
0.0000 0.0000 0.0000
0.5000 0.5000 0.5000
0.0000 0.0000 0.5000
0.0000 0.5000 0.0000
0.5000 0.0000 0.0000
```

## Properties
calculated total energy = -19.3 eV/cell
space-group type = Pm-3m (221)
D(E_F) = 1.2 states/eV per cell
size of the total moment = 0.0 μB/f.u.
uncorrected formation energy = -0.358 eV per atom
crystal system = cubic
volume = 16.4 Å³ per atom


VASP calculation (PBE) on a geometry-optimized Ba2InSnHg6 structure.

```
Ba2InSnHg6
1.0
6.2908 0.0000 0.0000
0.0000 9.6037 0.0000
0.0000 0.0000 10.5710
Ba In Sn Hg
4 2 2 12
Direct
0.2500 0.0075 0.2445
0.2500 0.4925 0.2445
0.7500 0.5075 0.7555
0.7500 0.9925 0.7555
0.2500 0.2500 0.7674
0.7500 0.7500 0.2326
0.2500 0.7500 0.7701
0.7500 0.2500 0.2299
0.0023 0.7500 0.0052
0.0032 0.7500 0.4931
0.2500 0.5013 0.6013
0.2500 0.9987 0.6013
0.4968 0.7500 0.4931
0.4977 0.7500 0.0052
0.5023 0.2500 0.9948
0.5032 0.2500 0.5069
0.7500 0.0013 0.3987
0.7500 0.4987 0.3987
0.9968 0.2500 0.5069
0.9977 0.2500 0.9948
```

## Properties
calculated total energy = -30.4 eV/cell
space-group type = Pmmn (59)
energy of formation from the pure elements = -0.279 eV/atom
D(E_F) = 7.5 states/eV per cell
size of the total moment = 0.0 μB/f.u.
crystal system = orthorhombic
volume = 31.9 Å³ per atom


VASP calculation (PBE) on a geometry-optimized MnCdBr4 structure.

```
MnCdBr4
1.0
7.6227 -1.9811 0.0000
7.6227 1.9811 0.0000
-3.0497 0.0000 6.2093
Mn Cd Br
1 1 4
Direct
0.0000 0.0000 0.0000
0.5000 0.5000 0.5000
0.1136 0.1136 0.4333
0.3888 0.3888 0.0468
0.6112 0.6112 0.9532
0.8864 0.8864 0.5667
```

## Properties
calculated total energy = -21.7 eV/cell
space-group type = C2/m (12)
polymorph energy (0 for the lowest one) = 0.000 eV/atom
D(E_F) = 0.0 states/eV per cell
size of the total moment = 5.0 μB/f.u.
uncorrected formation energy = -0.818 eV per atom
crystal system = monoclinic
volume = 31.3 Å³ per atom


VASP calculation (PBE) on a geometry-optimized Li2HfNiSn structure.

```
Li2HfNiSn
1.0
5.2328 0.0000 0.0000
0.0000 5.2328 0.0000
0.0000 0.0000 4.4592
Li Hf Ni Sn
2 1 1 1
Direct
0.0000 0.5000 0.0000
0.5000 0.0000 0.0000
0.0000 0.0000 0.0000
0.0000 0.0000 0.5000
0.5000 0.5000 0.5000
```

## Properties
calculated total energy = -18.7 eV/cell
space-group type = P4/mmm (123)
energy of formation from the pure elements = 0.980 eV/atom
D(E_F) = 3.7 states/eV per cell
size of the total moment = 0.0 μB/f.u.
crystal system = tetragonal
volume = 24.4 Å³ per atom